# NaBiAs

NaBiAs after structural relaxation (GGA-PBE, the Alexandria database).

abc: 4.361 4.361 6.395
angles: 70.06 70.06 60.00
Fractional positions:
Bi: 0.110 0.110 0.669
Na: 0.596 0.596 0.213
As: 0.368 0.368 0.897

Properties
Volume: 96.8 Å³/cell
Space-group type: R3m (160)

# Na2BiAs

Na2BiAs after structural relaxation (GGA-PBE, the Alexandria database).

abc: 4.824 4.526 4.526
angles: 90.00 90.00 90.00
Fractional positions:
Na: 0.000 0.500 0.000
Bi: 0.500 0.500 0.500
Na: 0.000 0.000 0.500
As: 0.500 0.000 0.000

Properties
Volume: 98.8 Å³/cell
Space-group type: P4/mmm (123)

| no. | formation enthalpy at 0 K (eV per atom) | calculated total energy (eV/atom) |
| --- | --- | --- |
| 1 | -0.11 | -3.39 |
| 2 | -0.26 | -3.05 |